1.
An optimized crystal structure of LaFe3. Source: Alexandria via LeMat-Bulk, functional PBE-GGA.

```
LaFe3
1.0
-1.631 2.205 4.576
1.631 -2.205 4.576
1.631 2.205 -4.576
La Fe
1 3
direct
0.000 0.000 0.000 La
0.271 0.771 0.500 Fe
0.500 0.500 0.000 Fe
0.729 0.229 0.500 Fe
```

Results
Its formation energy is 0.450 eV per atom. The electronic total energy is -28.5 eV for the cell shown. The value obtained for the density of states at the Fermi level is 4.890 states/eV/f.u. The calculation puts the total moment at 1.7538 μB per atom.

***

2.
An optimized crystal structure of Nd2HoAu. Source: Alexandria via LeMat-Bulk, functional PBE-GGA.

```
Nd2HoAu
1.0
3.772 0.000 0.000
-1.886 3.267 0.000
0.000 0.000 10.123
Nd Ho Au
2 1 1
direct
0.000 0.000 0.000 Nd
0.333 0.667 0.703 Nd
0.000 0.000 0.410 Ho
0.667 0.333 0.217 Au
```

Results
Its formation energy is -0.302 eV per atom. For the energy above the most stable polymorph in this dataset, the calculation gives 0.099 eV per atom. The electronic total energy is -18.6 eV for the cell shown. The value obtained for the density of states at the Fermi level is 4.747 states/eV/f.u. The calculation puts the total moment at 0.0019 μB per atom.

***

3.
An optimized crystal structure of Zn2Os. Source: Alexandria via LeMat-Bulk, functional PBE-GGA.

```
Zn2Os
1.0
6.747 0.000 0.000
0.000 6.796 0.000
0.000 0.000 2.528
Zn Os
4 2
direct
0.238 0.237 0.000 Zn
0.262 0.737 0.500 Zn
0.738 0.263 0.500 Zn
0.762 0.763 0.000 Zn
0.000 0.000 0.500 Os
0.500 0.500 0.000 Os
```

Results
Its formation energy is 0.425 eV per atom. The electronic total energy is -25.0 eV for the cell shown. The value obtained for the density of states at the Fermi level is 1.640 states/eV/f.u. The calculation puts the total moment at 0.0000 μB per atom.